Compound: Ho7Mg2Sc
Source: Alexandria
Functional: PBE
Structure: optimized geometry

```
Ho7Mg2Sc
1.0
4.3885 -8.1797 0.0000
4.3885 8.1797 0.0000
0.0000 0.0000 5.0231
Ho Mg Sc
7 2 1
Direct
0.0000 0.0000 0.0000
0.2101 0.4277 0.0000
0.2957 0.7043 0.5000
0.4277 0.2101 0.0000
0.5723 0.7899 0.0000
0.7043 0.2957 0.5000
0.7899 0.5723 0.0000
0.1980 0.8020 0.0000
0.8020 0.1980 0.0000
0.5000 0.5000 0.5000
```

* total energy: -3.568 eV per atom
* space-group type: Cmmm (65)
* calculated volume: 360.6 Å³/cell

=====

Compound: AcLa2DyEr4
Source: Alexandria
Functional: PBE
Structure: optimized geometry

```
AcLa2DyEr4
1.0
7.2618 0.0000 0.0000
-3.6126 6.3138 0.0000
-3.6293 -2.0814 11.7048
Ac La Dy Er
2 4 2 8
Direct
0.0000 0.0000 0.0000
0.5000 0.0000 0.5000
0.0000 0.0000 0.5000
0.0000 0.5000 0.5000
0.5000 0.5000 0.0000
0.5000 0.5000 0.5000
0.0000 0.5000 0.0000
0.5000 0.0000 0.0000
0.0025 0.7487 0.7512
0.0040 0.2538 0.7520
0.4982 0.7480 0.7520
0.4977 0.7487 0.2461
0.5023 0.2513 0.7539
0.5018 0.2520 0.2480
0.9960 0.7462 0.2480
0.9975 0.2513 0.2488
```

* total energy: -4.571 eV per atom
* space-group type: P-1 (2)
* calculated volume: 536.7 Å³/cell